Compound: CdSb2Au
Source: the Alexandria database
Functional: PBE
Structure: relaxed

Cell and atoms, written as POSCAR:
```
CdSb2Au
1.0
-0.5153 3.3998 -0.2480
-3.0676 -1.4835 -0.5243
-1.6401 0.3741 8.5367
Sb Au Cd
2 1 1
direct
0.0000 0.0000 0.0231
0.0000 0.0000 0.4769
0.5000 0.5000 0.2500
0.5000 0.5000 0.7500
```

Results
Space group: No. 65
Total magnetization: 0.00 μB/cell
Formation energy from raw total energies: 0.124 eV/atom

***

Compound: CdSb2Au
Source: the Alexandria database
Functional: PBE
Structure: relaxed

Cell and atoms, written as POSCAR:
```
CdSb2Au
1.0
-0.2401 0.5131 3.9883
2.0793 -3.4039 0.5631
5.1281 3.1173 -0.0922
Sb Au Cd
2 1 1
direct
0.0000 0.0000 0.4892
0.0000 0.0000 0.0108
0.5000 0.5000 0.2500
0.5000 0.5000 0.7500
```

Results
Space group: No. 123
Total magnetization: 0.00 μB/cell
Formation energy from raw total energies: 0.137 eV/atom